VASP calculation (PBE) on a relaxed Li3La2Ge4Au crystal.

The structure belongs to space group P-4m2 (No. 115); the cell edges are 4.320, 4.320 and 10.612 Å and the angles 90.00°, 90.00° and 90.00°. Symmetry generates all atoms from Li at (0.000, 0.000, 0.000), Li at (0.000, 0.500, 0.625), La at (0.000, 0.500, 0.256), Ge at (0.000, 0.000, 0.500), Ge at (0.000, 0.500, 0.860), Ge at (0.500, 0.500, 0.500) and Au at (0.500, 0.500, 0.000).

Its crystal system is tetragonal.



VASP calculation (PBE) on a relaxed LiLa2Ge3Au4 crystal.

The structure belongs to space group P-4m2 (No. 115); the cell edges are 4.480, 4.480 and 10.555 Å and the angles 90.00°, 90.00° and 90.00°. Symmetry generates all atoms from Li at (0.000, 0.000, 0.000), La at (0.000, 0.500, 0.742), Ge at (0.000, 0.500, 0.361), Ge at (0.500, 0.500, 0.000), Au at (0.000, 0.000, 0.500), Au at (0.000, 0.500, 0.121) and Au at (0.500, 0.500, 0.500).

Its crystal system is tetragonal.



Number 1: V 198.00 Å³/f.u., total energy -4.34 eV/atom. Number 2: V 211.81 Å³/f.u., total energy -4.53 eV/atom.